The following is a PBE calculation of a geometry-optimized Zr3CoTe structure, from Alexandria via LeMat-Bulk.

It has space group Pm-3m (No. 221), with a = 4.8652 Å, b = 4.8652 Å, c = 4.8652 Å, α = 90.00°, β = 90.00° and γ = 90.00°. Symmetry generates all atoms from Zr at (0.0000, 0.0000, 0.5000), Co at (0.0000, 0.0000, 0.0000) and Te at (0.5000, 0.5000, 0.5000).

The value obtained for the density of states at the Fermi level is 5.61 states/eV per cell. The calculation puts the raw formation energy at -42 kJ/mol of formula units. The total energy comes out at -7.27 eV/atom.